Computed, not measured: Cd2HgBi after structural relaxation at the PBE level of DFT.

Cell: 6.832 6.832 6.832 Å, 38.95 38.95 38.95°
Element x y z (fractional)
Cd: 0.248 0.248 0.248
Cd: 0.752 0.752 0.752
Hg: 0.500 0.500 0.500
Bi: 0.000 0.000 0.000

Calculated values
As for the relative energy among the computed polymorphs: 2.9 kJ/mol of atoms. The magnetic moment is 0.0 Bohr magnetons per cell. The value obtained for the electronic total energy is -1.440 eV per atom. For the formation energy, the calculation gives 0.063 eV per atom.